{"formula": "Er2ScCd2In2", "functional": "PBE-GGA", "state": "relaxed", "cell": [[4.887, 0.000, 0.000], [2.444, 4.233, 0.000], [2.444, 1.411, 8.664]], "species": ["Er", "Er", "Sc", "Cd", "Cd", "In", "In"], "fractional_positions": [[0.127, 0.127, 0.619], [0.873, 0.873, 0.381], [0.000, 0.000, 0.000], [0.611, 0.611, 0.167], [0.389, 0.389, 0.833], [0.740, 0.740, 0.779], [0.260, 0.260, 0.221]], "crystal_system": "trigonal", "dos_at_fermi_per_ev_atom": 0.630, "formation_energy_mev_per_atom": -190, "final_energy_ev_per_atom": -3.442, "sg": "R-3m"}

***

{"formula": "ScZnFe", "functional": "PBE-GGA", "state": "relaxed", "cell": [[2.997, 0.000, 0.000], [-1.498, 2.595, 0.000], [0.000, 0.000, 6.405]], "species": ["Fe", "Sc", "Zn"], "fractional_positions": [[0.000, 0.000, 0.993], [0.667, 0.333, 0.318], [0.333, 0.667, 0.689]], "crystal_system": "trigonal", "dos_at_fermi_per_ev_atom": 0.931, "formation_energy_mev_per_atom": 150, "final_energy_ev_per_atom": -5.206, "sg": "P3m1"}

***

{"formula": "Te3C5", "functional": "PBE-GGA", "state": "relaxed", "cell": [[-0.141, -0.838, -3.738], [2.324, -2.992, 0.583], [-7.633, -5.628, 1.551]], "species": ["Te", "Te", "Te", "C", "C", "C", "C", "C"], "fractional_positions": [[0.000, 0.000, 0.500], [0.500, 0.500, 0.220], [0.500, 0.500, 0.780], [0.000, 0.000, 0.000], [0.000, 0.000, 0.137], [0.000, 0.000, 0.863], [0.500, 0.500, 0.430], [0.500, 0.500, 0.570]], "crystal_system": "tetragonal", "e_above_lowest_polymorph_mev_per_atom": 432, "dos_at_fermi_per_ev_atom": 0.568, "e_form_raw_ev_per_atom": 1.71, "final_energy_ev_per_atom": -5.232, "sg": "P4/mmm"}

***

{"formula": "La3Rh4", "functional": "PBE-GGA", "state": "relaxed", "cell": [[10.707, -1.706, -1.558], [10.455, 1.349, 2.973], [-10.721, -2.090, 0.814]], "species": ["La", "La", "La", "Rh", "Rh", "Rh", "Rh"], "fractional_positions": [[0.000, 0.000, 0.000], [0.685, 0.685, 0.000], [0.315, 0.315, 0.000], [0.856, 0.856, 0.000], [0.565, 0.565, 0.000], [0.435, 0.435, 0.000], [0.144, 0.144, 0.000]], "crystal_system": "tetragonal", "e_above_lowest_polymorph_mev_per_atom": 0, "dos_at_fermi_per_ev_atom": 0.689, "formation_energy_mev_per_atom": -378, "final_energy_ev_per_atom": -6.690, "sg": "I4/mmm"}

***

{"formula": "Li8Tl2Pb", "functional": "PBE-GGA", "state": "relaxed", "cell": [[-2.230, -3.463, -2.370], [0.176, -4.244, 6.037], [-4.401, 6.146, -0.075]], "species": ["Li", "Li", "Li", "Li", "Li", "Li", "Li", "Li", "Tl", "Tl", "Pb"], "fractional_positions": [[0.643, 0.844, 0.286], [0.355, 0.557, 0.710], [0.150, 0.148, 0.300], [0.001, 0.291, 0.002], [0.850, 0.852, 0.700], [0.645, 0.443, 0.290], [0.357, 0.156, 0.714], [0.999, 0.709, 0.998], [0.203, 0.704, 0.405], [0.797, 0.296, 0.595], [0.500, 0.000, 0.000]], "crystal_system": "monoclinic", "e_above_lowest_polymorph_mev_per_atom": 0, "dos_at_fermi_per_ev_atom": 0.376, "formation_energy_mev_per_atom": -224, "final_energy_ev_per_atom": -2.383, "sg": "C2/m"}

***

{"formula": "BC2", "functional": "PBE-GGA", "state": "relaxed", "cell": [[4.284, 0.057, -1.913], [3.462, 2.525, -1.913], [-0.159, -0.053, 7.306]], "species": ["B", "B", "B", "B", "C", "C", "C", "C", "C", "C", "C", "C"], "fractional_positions": [[0.663, 0.663, 0.358], [0.170, 0.170, 0.184], [0.535, 0.535, 0.917], [0.298, 0.298, 0.625], [0.492, 0.492, 0.377], [0.341, 0.341, 0.164], [0.988, 0.988, 0.992], [0.839, 0.839, 0.040], [0.672, 0.672, 0.834], [0.161, 0.161, 0.708], [0.994, 0.994, 0.502], [0.845, 0.845, 0.550]], "crystal_system": "monoclinic", "e_above_lowest_polymorph_mev_per_atom": 47, "dos_at_fermi_per_ev_atom": 0.137, "formation_energy_mev_per_atom": 287, "final_energy_ev_per_atom": -8.089, "sg": "C2/m"}

***

{"formula": "ZrAl", "functional": "PBE-GGA", "state": "relaxed", "cell": [[-4.440, -1.720, -2.861], [-2.827, -0.594, 4.744], [-1.781, 5.267, -0.402]], "species": ["Zr", "Zr", "Zr", "Zr", "Al", "Al", "Al", "Al"], "fractional_positions": [[0.222, 0.222, 0.000], [0.722, 0.278, 0.500], [0.278, 0.722, 0.500], [0.778, 0.778, 0.000], [0.279, 0.721, 0.000], [0.779, 0.779, 0.500], [0.221, 0.221, 0.500], [0.721, 0.279, 0.000]], "crystal_system": "tetragonal", "dos_at_fermi_per_ev_atom": 0.744, "formation_energy_mev_per_atom": 12, "final_energy_ev_per_atom": -6.133, "sg": "P4_2/mnm"}

***

{"formula": "CaP2RuPt", "functional": "PBE-GGA", "state": "relaxed", "cell": [[-4.031, -0.381, -0.004], [0.286, -3.001, -2.702], [2.178, -1.592, 5.031]], "species": ["Ca", "P", "P", "Ru", "Pt"], "fractional_positions": [[0.000, 0.000, 0.000], [0.614, 0.614, 0.228], [0.386, 0.386, 0.772], [0.750, 0.250, 0.500], [0.250, 0.750, 0.500]], "crystal_system": "tetragonal", "dos_at_fermi_per_ev_atom": 0.506, "formation_energy_mev_per_atom": -788, "final_energy_ev_per_atom": -6.415, "sg": "I-4m2"}

***

{"formula": "ZnRu2Au", "functional": "PBE-GGA", "state": "relaxed", "cell": [[3.751, 0.000, 0.000], [0.000, 2.810, 0.007], [0.000, 2.797, 5.728]], "species": ["Au", "Ru", "Ru", "Zn"], "fractional_positions": [[0.500, 0.764, 0.736], [0.000, 0.962, 0.038], [0.500, 0.270, 0.230], [0.000, 0.503, 0.497]], "crystal_system": "orthorhombic", "dos_at_fermi_per_ev_atom": 0.597, "formation_energy_mev_per_atom": 69, "final_energy_ev_per_atom": -5.707, "sg": "Pmm2"}

***

{"formula": "LaTiOF2", "functional": "PBE-GGA", "state": "relaxed", "cell": [[-4.414, 1.013, 1.222], [0.386, -2.817, 3.731], [1.525, 3.579, 2.544]], "species": ["F", "F", "Ti", "O", "La"], "fractional_positions": [[0.000, 0.500, 0.000], [0.500, 0.000, 0.000], [0.500, 0.500, 0.500], [0.000, 0.000, 0.500], [0.000, 0.000, 0.000]], "crystal_system": "tetragonal", "e_above_lowest_polymorph_mev_per_atom": 443, "dos_at_fermi_per_ev_atom": 0.913, "e_form_raw_ev_per_atom": -2.13, "final_energy_ev_per_atom": -6.433, "sg": "P4/mmm"}

***

{"formula": "CePm5Sm4", "functional": "PBE-GGA", "state": "relaxed", "cell": [[-1.510, 4.820, -0.098], [0.404, -0.052, -8.798], [-7.134, -4.796, 4.274]], "species": ["Ce", "Pm", "Pm", "Pm", "Pm", "Pm", "Sm", "Sm", "Sm", "Sm"], "fractional_positions": [[0.500, 0.000, 0.000], [0.829, 0.274, 0.659], [0.836, 0.886, 0.671], [0.164, 0.114, 0.329], [0.500, 0.500, 0.000], [0.171, 0.726, 0.341], [0.323, 0.576, 0.645], [0.967, 0.717, 0.933], [0.677, 0.424, 0.355], [0.033, 0.283, 0.067]], "crystal_system": "monoclinic", "dos_at_fermi_per_ev_atom": 1.846, "formation_energy_mev_per_atom": 247, "final_energy_ev_per_atom": -4.610, "sg": "C2/m"}

***

{"formula": "Y4NiPb", "functional": "PBE-GGA", "state": "relaxed", "cell": [[-2.658, -3.434, 4.468], [-0.891, 2.418, 5.673], [-5.765, 1.341, 1.945]], "species": ["Y", "Y", "Y", "Y", "Ni", "Pb"], "fractional_positions": [[0.375, 0.875, 0.375], [0.875, 0.375, 0.375], [0.375, 0.375, 0.875], [0.375, 0.375, 0.375], [0.750, 0.750, 0.750], [0.000, 0.000, 0.000]], "crystal_system": "cubic", "dos_at_fermi_per_ev_atom": 1.421, "formation_energy_mev_per_atom": 514, "final_energy_ev_per_atom": -5.377, "sg": "F-43m"}

***

{"formula": "CeNdZnNi", "functional": "PBE-GGA", "state": "relaxed", "cell": [[-0.744, -4.830, -1.248], [0.397, -3.601, 3.509], [-4.124, -2.415, 1.613]], "species": ["Ni", "Zn", "Nd", "Ce"], "fractional_positions": [[0.250, 0.250, 0.250], [0.750, 0.750, 0.750], [0.500, 0.500, 0.500], [0.000, 0.000, 0.000]], "crystal_system": "cubic", "dos_at_fermi_per_ev_atom": 1.794, "formation_energy_mev_per_atom": -179, "final_energy_ev_per_atom": -4.618, "sg": "F-43m"}

***

{"formula": "LaTlC2O6", "functional": "PBE-GGA", "state": "relaxed", "cell": [[6.732, 0.054, -0.045], [-0.770, 6.688, -0.045], [-1.771, -2.003, 6.905]], "species": ["La", "La", "Tl", "Tl", "C", "C", "C", "C", "O", "O", "O", "O", "O", "O", "O", "O", "O", "O", "O", "O"], "fractional_positions": [[0.602, 0.398, 0.250], [0.398, 0.602, 0.750], [0.118, 0.882, 0.250], [0.882, 0.118, 0.750], [0.389, 0.149, 0.745], [0.851, 0.611, 0.755], [0.611, 0.851, 0.255], [0.149, 0.389, 0.245], [0.956, 0.395, 0.227], [0.605, 0.044, 0.273], [0.044, 0.605, 0.773], [0.395, 0.956, 0.727], [0.211, 0.254, 0.121], [0.746, 0.789, 0.379], [0.789, 0.746, 0.879], [0.254, 0.211, 0.621], [0.295, 0.522, 0.389], [0.478, 0.705, 0.111], [0.705, 0.478, 0.611], [0.522, 0.295, 0.889]], "crystal_system": "monoclinic", "dos_at_fermi_per_ev_atom": 0.000, "e_form_raw_ev_per_atom": -1.95, "final_energy_ev_per_atom": -7.501, "sg": "C2/c"}

***

{"formula": "Cs2DyAlS4", "functional": "PBE-GGA", "state": "relaxed", "cell": [[6.246, 0.000, 0.000], [3.123, 7.315, 0.000], [3.123, 0.000, 13.000]], "species": ["Cs", "Cs", "Cs", "Cs", "Dy", "Dy", "Al", "Al", "S", "S", "S", "S", "S", "S", "S", "S"], "fractional_positions": [[0.179, 0.000, 0.642], [0.821, 0.000, 0.358], [0.571, 0.500, 0.858], [0.929, 0.500, 0.142], [0.750, 0.500, 0.500], [0.000, 0.000, 0.000], [0.250, 0.500, 0.500], [0.500, 0.000, 0.000], [0.328, 0.815, 0.098], [0.241, 0.185, 0.902], [0.857, 0.815, 0.902], [0.574, 0.185, 0.098], [0.422, 0.685, 0.402], [0.509, 0.315, 0.598], [0.893, 0.685, 0.598], [0.176, 0.315, 0.402]], "crystal_system": "orthorhombic", "dos_at_fermi_per_ev_atom": 0.000, "e_form_raw_ev_per_atom": -1.45, "final_energy_ev_per_atom": -4.768, "sg": "Fddd"}

***

{"formula": "Ac2LaCu2", "functional": "PBE-GGA", "state": "relaxed", "cell": [[-1.041, -1.883, -3.570], [4.663, -4.410, 0.967], [-11.433, -2.984, 4.907]], "species": ["Ac", "Ac", "Ac", "Ac", "La", "La", "Cu", "Cu", "Cu", "Cu"], "fractional_positions": [[0.250, 0.762, 0.878], [0.750, 0.238, 0.122], [0.250, 0.289, 0.556], [0.750, 0.711, 0.444], [0.250, 0.834, 0.210], [0.750, 0.166, 0.790], [0.250, 0.832, 0.642], [0.750, 0.168, 0.358], [0.250, 0.375, 0.979], [0.750, 0.625, 0.021]], "crystal_system": "monoclinic", "e_above_lowest_polymorph_mev_per_atom": 41, "dos_at_fermi_per_ev_atom": 1.033, "formation_energy_mev_per_atom": -51, "final_energy_ev_per_atom": -4.319, "sg": "P2_1/m"}

***

{"formula": "ScAg2F", "functional": "PBE-GGA", "state": "relaxed", "cell": [[-0.828, 0.937, 4.502], [-3.129, -2.529, 2.376], [1.428, -2.976, 3.307]], "species": ["Sc", "Ag", "Ag", "F"], "fractional_positions": [[0.500, 0.500, 0.500], [0.250, 0.250, 0.250], [0.750, 0.750, 0.750], [0.000, 0.000, 0.000]], "crystal_system": "cubic", "e_above_lowest_polymorph_mev_per_atom": 337, "dos_at_fermi_per_ev_atom": 0.132, "e_form_raw_ev_per_atom": -0.41, "final_energy_ev_per_atom": -3.885, "sg": "Fm-3m"}

***

{"formula": "Ac2Tc3N8", "functional": "PBE-GGA", "state": "relaxed", "cell": [[5.043, 0.000, -0.148], [0.000, 7.114, 0.000], [-2.158, -3.557, 5.728]], "species": ["Ac", "Ac", "Tc", "Tc", "Tc", "N", "N", "N", "N", "N", "N", "N", "N"], "fractional_positions": [[0.354, 0.265, 0.531], [0.646, 0.735, 0.469], [0.500, 0.000, 0.000], [0.000, 0.320, 0.000], [0.000, 0.680, 0.000], [0.943, 0.607, 0.214], [0.057, 0.393, 0.786], [0.844, 0.131, 0.262], [0.156, 0.869, 0.738], [0.651, 0.700, 0.822], [0.651, 0.122, 0.822], [0.349, 0.878, 0.178], [0.349, 0.300, 0.178]], "crystal_system": "monoclinic", "dos_at_fermi_per_ev_atom": 0.299, "e_form_raw_ev_per_atom": -0.18, "final_energy_ev_per_atom": -8.324, "sg": "C2/m"}

***

{"formula": "Cu2NiHRh", "functional": "PBE-GGA", "state": "relaxed", "cell": [[3.762, 0.000, 0.000], [0.000, 3.762, 0.000], [0.000, 0.000, 3.699]], "species": ["Ni", "Rh", "Cu", "Cu", "H"], "fractional_positions": [[0.500, 0.500, 0.500], [0.000, 0.000, 0.500], [0.000, 0.500, 0.000], [0.500, 0.000, 0.000], [0.000, 0.000, 0.000]], "crystal_system": "tetragonal", "e_above_lowest_polymorph_mev_per_atom": 0, "dos_at_fermi_per_ev_atom": 1.344, "final_energy_ev_per_atom": -4.848, "sg": "P4/mmm"}

***

{"formula": "GePS2", "functional": "PBE-GGA", "state": "relaxed", "cell": [[2.042, 0.000, 7.591], [-1.021, 1.769, 7.591], [-1.021, -1.769, 7.591]], "species": ["P", "Ge", "S", "S"], "fractional_positions": [[0.000, 0.000, 0.000], [0.500, 0.500, 0.500], [0.900, 0.900, 0.900], [0.100, 0.100, 0.100]], "crystal_system": "trigonal", "e_above_lowest_polymorph_mev_per_atom": 244, "dos_at_fermi_per_ev_atom": 0.262, "e_form_raw_ev_per_atom": 0.23, "final_energy_ev_per_atom": -4.336, "sg": "R-3m"}

***

{"formula": "Sc2AgSe2", "functional": "PBE-GGA", "state": "relaxed", "cell": [[-0.004, -3.919, 6.457], [2.328, -6.143, -3.727], [3.285, 0.909, 0.554]], "species": ["Sc", "Sc", "Sc", "Sc", "Se", "Se", "Se", "Se", "Ag", "Ag"], "fractional_positions": [[0.151, 0.651, 0.500], [0.651, 0.849, 0.500], [0.849, 0.349, 0.500], [0.349, 0.151, 0.500], [0.354, 0.854, 0.000], [0.854, 0.646, 0.000], [0.646, 0.146, 0.000], [0.146, 0.354, 0.000], [0.000, 0.000, 0.000], [0.500, 0.500, 0.000]], "crystal_system": "tetragonal", "e_above_lowest_polymorph_mev_per_atom": 0, "dos_at_fermi_per_ev_atom": 0.467, "e_form_raw_ev_per_atom": -1.04, "final_energy_ev_per_atom": -5.533, "sg": "P4/mbm"}

***

{"formula": "Cs3Na2Cd2Hg4", "functional": "PBE-GGA", "state": "relaxed", "cell": [[5.296, 0.000, 0.000], [-2.648, 4.587, 0.000], [0.000, 0.000, 19.414]], "species": ["Cs", "Cs", "Cs", "Na", "Na", "Cd", "Cd", "Hg", "Hg", "Hg", "Hg"], "fractional_positions": [[0.000, 0.000, 0.730], [0.000, 0.000, 0.000], [0.000, 0.000, 0.270], [0.667, 0.333, 0.444], [0.333, 0.667, 0.556], [0.667, 0.333, 0.864], [0.333, 0.667, 0.136], [0.667, 0.333, 0.136], [0.333, 0.667, 0.864], [0.667, 0.333, 0.610], [0.333, 0.667, 0.390]], "crystal_system": "trigonal", "dos_at_fermi_per_ev_atom": 0.662, "formation_energy_mev_per_atom": -133, "final_energy_ev_per_atom": -0.881, "sg": "P-3m1"}

***

{"formula": "TbTiCdHg", "functional": "PBE-GGA", "state": "relaxed", "cell": [[-4.011, 2.886, 1.038], [-3.685, 0.521, -3.411], [-4.504, -2.134, 0.805]], "species": ["Ti", "Tb", "Hg", "Cd"], "fractional_positions": [[0.250, 0.250, 0.250], [0.750, 0.750, 0.750], [0.000, 0.000, 0.000], [0.500, 0.500, 0.500]], "crystal_system": "cubic", "dos_at_fermi_per_ev_atom": 0.880, "formation_energy_mev_per_atom": -119, "final_energy_ev_per_atom": -3.555, "sg": "F-43m"}

***

{"formula": "BeAgAu2", "functional": "PBE-GGA", "state": "relaxed", "cell": [[4.503, 0.000, 0.000], [2.252, 3.900, 0.000], [2.252, 1.300, 3.677]], "species": ["Be", "Au", "Au", "Ag"], "fractional_positions": [[0.750, 0.750, 0.750], [0.000, 0.000, 0.000], [0.250, 0.250, 0.250], [0.500, 0.500, 0.500]], "crystal_system": "cubic", "dos_at_fermi_per_ev_atom": 0.493, "formation_energy_mev_per_atom": 142, "final_energy_ev_per_atom": -3.141, "sg": "F-43m"}

***

{"formula": "RbHoTeS", "functional": "PBE-GGA", "state": "relaxed", "cell": [[4.241, -0.001, 0.000], [-2.120, 3.674, 0.000], [-2.120, -1.225, 8.328]], "species": ["Rb", "Ho", "Te", "S"], "fractional_positions": [[0.977, 0.387, 0.379], [0.287, 0.541, 0.844], [0.102, 0.949, 0.066], [0.511, 0.153, 0.680]], "crystal_system": "trigonal", "e_form_raw_ev_per_atom": -1.55, "final_energy_ev_per_atom": -4.756, "sg": "R3m"}